Record 1
DFT (PBE-GGA) results for a relaxed GdDyH2O4 crystal.

Cell and atoms, written as CIF:
```
data_GdDyH2O4
_cell_length_a 4.305
_cell_length_b 3.620
_cell_length_c 5.962
_cell_angle_alpha 90.00
_cell_angle_beta 109.46
_cell_angle_gamma 90.00
_symmetry_space_group_name_H-M 'P 1 m 1'
_symmetry_Int_Tables_number 6
loop_
_symmetry_equiv_pos_as_xyz
'x,y,z'
'x,-y,z'
loop_
_atom_site_label
_atom_site_type_symbol
_atom_site_fract_x
_atom_site_fract_y
_atom_site_fract_z
Gd1 Gd 0.000 0.000 0.000
Dy1 Dy 0.328 0.500 0.618
H1 H 0.656 0.000 0.404
H2 H 0.675 0.500 0.223
O1 O 0.420 0.000 0.376
O2 O 0.430 0.000 0.859
O3 O 0.895 0.500 0.754
O4 O 0.911 0.500 0.249
```

Results
raw total energy	-56.946	eV/cell
total magnetization	0.000	μB/atom

***

Record 2
DFT (PBE-GGA) results for a relaxed GdDyHf crystal.

Cell and atoms, written as CIF:
```
data_GdDyHf
_cell_length_a 7.334
_cell_length_b 7.334
_cell_length_c 7.334
_cell_angle_alpha 90.00
_cell_angle_beta 90.00
_cell_angle_gamma 90.00
_symmetry_space_group_name_H-M 'F -4 3 m'
_symmetry_Int_Tables_number 216
_symmetry_space_group_name_Hall 'F -4 2 3'
loop_
_atom_site_label
_atom_site_type_symbol
_atom_site_fract_x
_atom_site_fract_y
_atom_site_fract_z
Gd1 Gd 0.000 0.000 0.000
Dy1 Dy 0.000 0.000 0.500
Hf1 Hf 0.250 0.250 0.750
```

Results
DFT formation energy	0.85	eV per atom
total magnetization	0.343	μB/atom

***

Record 3
DFT (PBE-GGA) results for a relaxed GdDyHf2Sb2 crystal.

Cell and atoms, written as CIF:
```
data_GdDyHf2Sb2
_cell_length_a 4.270
_cell_length_b 4.270
_cell_length_c 16.579
_cell_angle_alpha 90.00
_cell_angle_beta 90.00
_cell_angle_gamma 90.00
_symmetry_space_group_name_H-M 'I 4 m m'
_symmetry_Int_Tables_number 107
_symmetry_space_group_name_Hall 'I 4 -2'
loop_
_atom_site_label
_atom_site_type_symbol
_atom_site_fract_x
_atom_site_fract_y
_atom_site_fract_z
Gd1 Gd 0.000 0.000 0.000
Dy1 Dy 0.000 0.000 0.353
Hf1 Hf 0.000 0.500 0.177
Sb1 Sb 0.000 0.000 0.546
Sb2 Sb 0.000 0.000 0.808
```

Results
raw total energy	-83.395	eV/cell
total magnetization	0.000	μB/atom